Entry 1:
! Li2DyPuGe2 PBE relaxed; values from VASP
&SYSTEM
  ibrav = 0, nat = 6, ntyp = 4
/
ATOMIC_SPECIES
Li 6.94 Li.upf
Dy 162.50 Dy.upf
Pu 244.00 Pu.upf
Ge 72.64 Ge.upf
CELL_PARAMETERS angstrom
4.4413 0.0000 0.0000
-2.2206 3.8463 0.0000
0.0000 0.0000 7.1627
ATOMIC_POSITIONS angstrom
Li 0.0000 2.5642 1.7440
Li 2.2206 1.2821 5.4187
Dy 0.0000 0.0000 0.0000
Pu 0.0000 0.0000 3.5813
Ge 0.0000 2.5642 5.3496
Ge 2.2206 1.2821 1.8131
! VASP energy, eV per cell: -34.88
! Formation enthalpy at 0 K, eV/atom: -0.48
! Total moment, μB per formula unit: 5.2


Entry 2:
! AcNd14Tm PBE relaxed; values from VASP
&SYSTEM
  ibrav = 0, nat = 16, ntyp = 3
/
ATOMIC_SPECIES
Ac 227.00 Ac.upf
Nd 144.24 Nd.upf
Tm 168.93 Tm.upf
CELL_PARAMETERS angstrom
11.9748 0.0000 0.0000
0.0000 3.7095 6.4397
0.0000 -3.7095 6.4397
ATOMIC_POSITIONS angstrom
Ac 0.0000 0.0000 0.0000
Nd 0.0000 -1.8354 9.6853
Nd 0.0000 1.8354 9.6853
Nd 2.9553 0.0000 4.3209
Nd 2.9970 -1.8435 7.5470
Nd 2.9970 1.8435 7.5470
Nd 3.0439 0.0000 10.7462
Nd 5.9874 0.0000 0.0305
Nd 5.9874 -1.8458 3.2394
Nd 5.9874 1.8458 3.2394
Nd 5.9874 0.0000 6.4595
Nd 8.9309 0.0000 10.7462
Nd 8.9778 -1.8435 7.5470
Nd 8.9778 1.8435 7.5470
Nd 9.0195 0.0000 4.3209
Tm 0.0000 0.0000 6.4762
! VASP energy, eV per cell: -74.73
! Formation enthalpy at 0 K, eV/atom: 0.04
! Total moment, μB per formula unit: 0.0